Entry 1:
This record from Alexandria describes MgTe after structural relaxation. The functional is GGA-PBEsol.

Unit cell a=4.564 b=4.564 c=7.421 alpha=90.00 beta=90.00 gamma=120.00
Sites, in units of the cell vectors:
Mg1 0.333 0.667 0.001
Mg2 0.667 0.333 0.501
Te1 0.667 0.333 0.124
Te2 0.333 0.667 0.624

Output
Space group ... P6_3mc (186)
Crystal system ... hexagonal


Entry 2:
This record from Alexandria describes K4BaV6O18 after structural relaxation. The functional is GGA-PBEsol.

Unit cell a=10.020 b=10.020 c=10.020 alpha=85.15 beta=85.15 gamma=85.15
Sites, in units of the cell vectors:
O1 0.762 0.736 0.260
O2 0.731 0.003 0.911
O3 0.260 0.085 0.000
O4 0.760 0.236 0.262
O5 0.000 0.260 0.085
O6 0.236 0.262 0.760
O7 0.177 0.154 0.524
O8 0.327 0.339 0.993
O9 0.524 0.177 0.154
O10 0.585 0.760 0.500
O11 0.760 0.500 0.585
O12 0.490 0.148 0.842
O13 0.411 0.503 0.231
O14 0.003 0.911 0.731
O15 0.993 0.327 0.339
O16 0.493 0.839 0.827
O17 0.262 0.760 0.236
O18 0.648 0.990 0.342
O19 0.154 0.524 0.177
O20 0.231 0.411 0.503
O21 0.827 0.493 0.839
O22 0.503 0.231 0.411
O23 0.500 0.585 0.760
O24 0.990 0.342 0.648
O25 0.342 0.648 0.990
O26 0.024 0.654 0.677
O27 0.148 0.842 0.490
O28 0.677 0.024 0.654
O29 0.911 0.731 0.003
O30 0.260 0.762 0.736
O31 0.085 0.000 0.260
O32 0.736 0.260 0.762
O33 0.339 0.993 0.327
O34 0.842 0.490 0.148
O35 0.839 0.827 0.493
O36 0.654 0.677 0.024
V1 0.104 0.793 0.662
V2 0.326 0.207 0.903
V3 0.903 0.326 0.207
V4 0.293 0.604 0.162
V5 0.793 0.662 0.104
V6 0.707 0.826 0.403
V7 0.826 0.403 0.707
V8 0.403 0.707 0.826
V9 0.662 0.104 0.793
V10 0.162 0.293 0.604
V11 0.207 0.903 0.326
V12 0.604 0.162 0.293
K1 0.497 0.924 0.078
K2 0.578 0.424 0.997
K3 0.999 0.999 0.999
K4 0.997 0.578 0.424
K5 0.924 0.078 0.497
K6 0.499 0.499 0.499
K7 0.424 0.997 0.578
K8 0.078 0.497 0.924
Ba1 0.260 0.260 0.260
Ba2 0.760 0.760 0.760

Output
Space group ... R3c (161)
Crystal system ... trigonal


Calculated total energy, record by record: -3.44; -7.90 eV/atom
Density, record by record: 3.8; 3.0 g cm⁻³